Entry from Alexandria: a geometry-optimized MgZn2Se4 structure (PBE).

Cell and atoms, written as extended XYZ:
```
7
Lattice="-3.822 3.822 2.700 3.822 -3.822 2.700 3.822 3.822 -2.700" Properties=species:S:1:pos:R:3 pbc="T T T"
Mg 0.000 0.000 0.000
Zn 3.822 0.000 1.350
Zn 0.000 3.822 1.350
Se 1.879 1.879 0.000
Se 1.943 -1.943 2.700
Se -1.943 1.943 2.700
Se 1.943 1.943 2.700
```

Computed properties:
The total moment is 0.000 μB/atom. The crystal system is tetragonal. The raw total energy comes out at -2.7667 eV/atom.